Entry 1:
Compound: Y2CrMo2
Source: the Alexandria database
Functional: PBE-GGA
Structure: relaxed

a b c (Å): 6.3639 6.3639 5.0932
angles (deg): 90.00 90.00 90.00
Last column: nearest neighbours and their distance in Å.
Fractional coordinates of all 10 atoms:
1 Mo 0.3573 0.8573 0.0000  2 Cr 2.45, 1 Mo 2.57
2 Mo 0.6427 0.1427 0.0000  2 Cr 2.45, 1 Mo 2.57
3 Mo 0.8573 0.6427 0.0000  2 Cr 2.45, 1 Mo 2.57
4 Mo 0.1427 0.3573 0.0000  2 Cr 2.45, 1 Mo 2.57
5 Cr 0.0000 0.0000 0.0000  4 Mo 2.45
6 Cr 0.5000 0.5000 0.0000  4 Mo 2.45
7 Y 0.8258 0.3258 0.5000  6 Mo 3.03-3.25, 5 Y 3.14-3.32
8 Y 0.3258 0.1742 0.5000  6 Mo 3.03-3.25, 5 Y 3.14-3.32
9 Y 0.1742 0.6742 0.5000  6 Mo 3.03-3.25, 5 Y 3.14-3.32
10 Y 0.6742 0.8258 0.5000  6 Mo 3.03-3.25, 5 Y 3.14-3.32

Output
SG: P4/mbm
Spin magnetization: 0.000 Bohr magnetons per cell
E_form: 0.34 eV/atom


Entry 2:
Compound: Y2CrMo
Source: the Alexandria database
Functional: PBE-GGA
Structure: relaxed

a b c (Å): 5.0446 5.0442 3.5313
angles (deg): 90.00 90.00 90.00
Last column: nearest neighbours and their distance in Å.
Fractional coordinates of all 4 atoms:
1 Cr 0.5000 0.0000 0.5000  8 Y 3.08
2 Y 0.5000 0.5000 0.0000  4 Cr 3.08, 4 Mo 3.08
3 Y 0.0000 0.0000 0.0000  4 Mo 3.08, 4 Cr 3.08
4 Mo 0.0000 0.5000 0.5000  8 Y 3.08

Output
SG: P4/mmm
Spin magnetization: 1.360 Bohr magnetons per cell
E_form: 0.50 eV/atom


For the records above, the corresponding Fermi-level density of states values read 3.46, 5.24 states/eV per cell.